Entry from Alexandria: an optimized crystal structure of AcMnRh4 (GGA-PBE).

```
data_AcMnRh4
_chemical_formula_sum 'Ac4 Mn4 Rh16'
_space_group_name_H-M_alt 'F -4 3 m'
_space_group_IT_number 216
_space_group_name_Hall 'F -4 2 3'
_cell_length_a 7.598
_cell_length_b 7.598
_cell_length_c 7.598
_cell_angle_alpha 90.00
_cell_angle_beta 90.00
_cell_angle_gamma 90.00
loop_
_atom_site_label
_atom_site_type_symbol
_atom_site_fract_x
_atom_site_fract_y
_atom_site_fract_z
Ac1 Ac 0.000 0.000 0.000
Mn1 Mn 0.250 0.250 0.250
Rh1 Rh 0.124 0.124 0.624
```

Calculated values
Crystal system: cubic
DFT total energy (eV/atom): -7.285
Energy of formation (eV per atom): -0.171
Magnetic moment (μB/atom): 0.816